VASP calculation (PBE with a Hubbard U) on a geometry-optimized KMn8O16 structure.

Geometry as CIF:
```
data_KMn8O16
_space_group_name_H-M_alt 'P -1'
_space_group_IT_number 2
_space_group_name_Hall '-P 1'
_cell_length_a 5.8904
_cell_length_b 7.2150
_cell_length_c 7.2190
_cell_angle_alpha 87.58
_cell_angle_beta 78.21
_cell_angle_gamma 78.22
loop_
_atom_site_label
_atom_site_type_symbol
_atom_site_fract_x
_atom_site_fract_y
_atom_site_fract_z
K1 K 0.0000 0.0000 0.0000
Mn1 Mn 0.0758 0.1831 0.5127
Mn2 Mn 0.1677 0.5124 0.8170
Mn3 Mn 0.3335 0.4835 0.1827
Mn4 Mn 0.4249 0.8172 0.4834
O1 O 0.0218 0.6255 0.2906
O2 O 0.1456 0.3584 0.0491
O3 O 0.1671 0.7093 0.6255
O4 O 0.1702 0.9515 0.3587
O5 O 0.3256 0.0488 0.6398
O6 O 0.3328 0.2927 0.3778
O7 O 0.3499 0.6396 0.9513
O8 O 0.4796 0.3769 0.7082
```

## Properties
E: -176.37 eV for the cell shown
Magnetization: 25.000 Bohr magnetons per cell

***

VASP calculation (PBE with a Hubbard U) on a geometry-optimized Ba2CaCr2O6 structure.

Geometry as CIF:
```
data_Ba2CaCr2O6
_space_group_name_H-M_alt 'R -3 m'
_space_group_IT_number 166
_space_group_name_Hall '-R 3 2"'
_cell_length_a 6.0998
_cell_length_b 6.0998
_cell_length_c 18.2072
_cell_angle_alpha 90.00
_cell_angle_beta 90.00
_cell_angle_gamma 120.00
loop_
_atom_site_label
_atom_site_type_symbol
_atom_site_fract_x
_atom_site_fract_y
_atom_site_fract_z
Ba1 Ba 0.0000 0.0000 0.2064
Ca1 Ca 0.0000 0.0000 0.0000
Cr1 Cr 0.0000 0.0000 0.4153
O1 O 0.0075 0.5038 0.7553
```

## Properties
E: -223.98 eV for the cell shown
Magnetization: 18.000 Bohr magnetons per cell